# 1
First-principles (PBE) data for a relaxed structure of CeHoScTl, as listed in the Alexandria database.

Summary:
* DOS(E_F): 7.18 states/eV per cell
* energy of formation: 0.08 eV/f.u.
* magnetic moment: 1.23 μB/f.u.

Cell lengths 5.2647, 5.2647, 5.2647 Å; angles 60.00, 60.00, 60.00 degrees
With the nearest neighbours (Å) after each atom.
Sites, in units of the cell vectors:
1 Sc 0.0000 0.0000 0.0000  4 Tl 3.22, 4 Ce 3.22
2 Tl 0.7500 0.7500 0.7500  4 Ho 3.22, 4 Sc 3.22
3 Ho 0.5000 0.5000 0.5000  4 Ce 3.22, 4 Tl 3.22
4 Ce 0.2500 0.2500 0.2500  4 Ho 3.22, 4 Sc 3.22

=====

# 2
First-principles (PBE) data for a relaxed structure of Ce2HoScTl4, as listed in the Alexandria database.

Summary:
* DOS(E_F): 17.84 states/eV per cell
* energy of formation: -2.02 eV/f.u.
* magnetic moment: 2.38 μB/f.u.

Cell lengths 5.3728, 5.3728, 9.3448 Å; angles 73.29, 73.29, 60.00 degrees
With the nearest neighbours (Å) after each atom.
Sites, in units of the cell vectors:
1 Ce 0.7520 0.7520 0.7440  8 Tl 3.23-3.38
2 Ce 0.2480 0.2480 0.2560  8 Tl 3.23-3.38
3 Ho 0.0000 0.0000 0.0000  8 Tl 3.30-3.33
4 Sc 0.5000 0.5000 0.5000  8 Tl 3.28-3.29
5 Tl 0.3759 0.3759 0.8723  1 Sc 3.28, 3 Ho 3.30, 4 Ce 3.30-3.38
6 Tl 0.8742 0.8742 0.3774  4 Ce 3.23-3.28, 3 Sc 3.29, 1 Ho 3.33
7 Tl 0.1258 0.1258 0.6226  4 Ce 3.23-3.28, 3 Sc 3.29, 1 Ho 3.33
8 Tl 0.6241 0.6241 0.1277  1 Sc 3.28, 3 Ho 3.30, 4 Ce 3.30-3.38